Record 1
{
  "formula": "SiTe2I",
  "functional": "PBE",
  "state": "relaxed",
  "lattice": [[-1.212, -9.913, 8.359], [2.048, -9.708, 8.435], [0.246, -7.825, 10.407]],
  "species": ["I", "Te", "Te", "Si"],
  "frac_coords": [[0.500, 0.500, 0.500], [0.068, 0.068, 0.068], [0.932, 0.932, 0.932], [0.000, 0.000, 0.000]],
  "m_tot_mub_per_atom": 0.00,
  "raw_formation_energy_ev_per_fu": 1.911
}

Record 2
{
  "formula": "Si2Te2I",
  "functional": "PBE",
  "state": "relaxed",
  "lattice": [[-5.911, 6.506, -4.590], [-3.980, -3.401, -4.564], [-6.767, 4.257, 2.674]],
  "species": ["Si", "Si", "Si", "Si", "Te", "Te", "Te", "Te", "I", "I"],
  "frac_coords": [[0.484, 0.841, 0.479], [0.775, 0.532, 0.186], [0.225, 0.468, 0.814], [0.516, 0.159, 0.521], [0.322, 0.755, 0.842], [0.040, 0.410, 0.194], [0.960, 0.590, 0.806], [0.678, 0.245, 0.158], [0.288, 0.924, 0.379], [0.712, 0.076, 0.621]],
  "m_tot_mub_per_atom": 0.00,
  "raw_formation_energy_ev_per_fu": -0.581
}

Record 3
{
  "formula": "SiTe2I",
  "functional": "PBE",
  "state": "relaxed",
  "lattice": [[-0.301, -5.337, -0.853], [1.074, 0.955, -6.354], [16.774, -1.373, 2.671]],
  "species": ["Te", "Te", "Te", "Te", "Te", "Te", "Te", "Te", "I", "I", "I", "I", "Si", "Si", "Si", "Si"],
  "frac_coords": [[0.688, 0.500, 0.434], [0.163, 0.999, 0.394], [0.312, 0.500, 0.566], [0.837, 0.001, 0.606], [0.337, 0.499, 0.894], [0.812, 0.000, 0.934], [0.663, 0.501, 0.106], [0.188, 0.000, 0.066], [0.632, 0.001, 0.194], [0.132, 0.499, 0.306], [0.368, 0.999, 0.806], [0.868, 0.501, 0.694], [0.500, 0.260, 0.000], [0.000, 0.240, 0.500], [0.500, 0.740, 0.000], [0.000, 0.760, 0.500]],
  "m_tot_mub_per_atom": 0.00,
  "raw_formation_energy_ev_per_fu": -0.196
}

Record 4
{
  "formula": "SiTeI2",
  "functional": "PBE",
  "state": "relaxed",
  "lattice": [[8.653, 0.000, 0.000], [0.000, 8.653, 0.000], [4.326, 4.326, 3.490]],
  "species": ["I", "I", "I", "I", "Te", "Te", "Si", "Si"],
  "frac_coords": [[0.570, 0.125, 0.250], [0.875, 0.820, 0.750], [0.180, 0.625, 0.250], [0.375, 0.430, 0.750], [0.750, 0.250, 0.500], [0.000, 0.000, 0.000], [0.500, 0.500, 0.000], [0.250, 0.750, 0.500]],
  "m_tot_mub_per_atom": 0.00,
  "raw_formation_energy_ev_per_fu": 2.051
}

Record 5
{
  "formula": "SiTe2I",
  "functional": "PBE",
  "state": "relaxed",
  "lattice": [[-5.884, 1.685, 4.905], [-4.796, -4.589, -4.177], [-4.205, -4.982, 2.939]],
  "species": ["Te", "Te", "Te", "Te", "Si", "Si", "I", "I"],
  "frac_coords": [[0.875, 0.792, 0.750], [0.542, 0.125, 0.250], [0.375, 0.458, 0.750], [0.208, 0.625, 0.250], [0.250, 0.750, 0.500], [0.500, 0.500, 0.000], [0.000, 0.000, 0.000], [0.750, 0.250, 0.500]],
  "m_tot_mub_per_atom": 0.00,
  "raw_formation_energy_ev_per_fu": 0.799
}

Record 6
{
  "formula": "SiTe2I",
  "functional": "PBE",
  "state": "relaxed",
  "lattice": [[-2.559, -2.543, 3.957], [-4.574, 1.991, 1.944], [-4.635, -2.495, -0.978]],
  "species": ["Te", "Te", "Si", "I"],
  "frac_coords": [[0.750, 0.750, 0.750], [0.250, 0.250, 0.250], [0.000, 0.000, 0.000], [0.500, 0.500, 0.500]],
  "m_tot_mub_per_atom": 0.00,
  "raw_formation_energy_ev_per_fu": 2.659
}

Record 7
{
  "formula": "Si5Te12I3",
  "functional": "PBE",
  "state": "relaxed",
  "lattice": [[15.334, 0.000, 0.000], [-5.111, 14.457, 0.000], [-5.111, -7.229, 12.520]],
  "species": ["Te", "Te", "Te", "Te", "Te", "Te", "Te", "Te", "Te", "Te", "Te", "Te", "Te", "Te", "Te", "Te", "Te", "Te", "Te", "Te", "Te", "Te", "Te", "Te", "Te", "Te", "Te", "Te", "Te", "Te", "Te", "Te", "Te", "Te", "Te", "Te", "Te", "Te", "Te", "Te", "Te", "Te", "Te", "Te", "Te", "Te", "Te", "Te", "Si", "Si", "Si", "Si", "Si", "Si", "Si", "Si", "Si", "Si", "Si", "Si", "Si", "Si", "Si", "Si", "Si", "Si", "Si", "Si", "I", "I", "I", "I", "I", "I", "I", "I", "I", "I", "I", "I"],
  "frac_coords": [[0.211, 0.513, 0.584], [0.789, 0.487, 0.416], [0.916, 0.289, 0.487], [0.289, 0.916, 0.987], [0.711, 0.627, 0.198], [0.698, 0.487, 0.571], [0.987, 0.416, 0.289], [0.627, 0.711, 0.698], [0.627, 0.916, 0.429], [0.873, 0.071, 0.584], [0.211, 0.698, 0.127], [0.916, 0.627, 0.929], [0.571, 0.584, 0.373], [0.571, 0.987, 0.698], [0.198, 0.071, 0.987], [0.987, 0.571, 0.198], [0.071, 0.198, 0.487], [0.513, 0.302, 0.929], [0.198, 0.127, 0.711], [0.429, 0.416, 0.627], [0.373, 0.084, 0.571], [0.802, 0.873, 0.289], [0.789, 0.302, 0.873], [0.698, 0.211, 0.627], [0.084, 0.373, 0.071], [0.584, 0.013, 0.211], [0.873, 0.802, 0.789], [0.429, 0.013, 0.302], [0.127, 0.198, 0.211], [0.487, 0.698, 0.071], [0.013, 0.429, 0.802], [0.711, 0.084, 0.013], [0.416, 0.429, 0.127], [0.513, 0.211, 0.084], [0.929, 0.802, 0.513], [0.584, 0.571, 0.873], [0.127, 0.929, 0.416], [0.802, 0.929, 0.013], [0.302, 0.513, 0.429], [0.416, 0.987, 0.789], [0.289, 0.373, 0.802], [0.084, 0.711, 0.513], [0.929, 0.127, 0.916], [0.013, 0.584, 0.711], [0.487, 0.789, 0.916], [0.071, 0.873, 0.084], [0.302, 0.789, 0.373], [0.373, 0.289, 0.302], [0.625, 0.875, 0.250], [0.250, 0.375, 0.625], [0.500, 0.000, 0.500], [0.250, 0.875, 0.125], [0.500, 0.000, 0.000], [0.625, 0.750, 0.875], [0.375, 0.250, 0.125], [0.125, 0.750, 0.375], [0.750, 0.125, 0.875], [0.000, 0.500, 0.500], [0.500, 0.500, 0.000], [0.750, 0.625, 0.375], [0.500, 0.500, 0.500], [0.875, 0.250, 0.625], [0.000, 0.000, 0.000], [0.875, 0.625, 0.750], [0.375, 0.125, 0.750], [0.125, 0.375, 0.250], [0.000, 0.000, 0.500], [0.000, 0.500, 0.000], [0.875, 0.750, 0.125], [0.250, 0.125, 0.375], [0.375, 0.750, 0.625], [0.750, 0.375, 0.125], [0.625, 0.375, 0.750], [0.750, 0.875, 0.625], [0.125, 0.250, 0.875], [0.875, 0.125, 0.250], [0.125, 0.875, 0.750], [0.375, 0.625, 0.250], [0.625, 0.250, 0.375], [0.250, 0.625, 0.875]],
  "m_tot_mub_per_atom": 0.00,
  "raw_formation_energy_ev_per_fu": 5.810
}

Record 8
{
  "formula": "SiTe2I",
  "functional": "PBE",
  "state": "relaxed",
  "lattice": [[-7.454, 5.438, 1.524], [-6.947, 3.577, 5.138], [-4.721, 6.888, 4.210]],
  "species": ["I", "Si", "Te", "Te"],
  "frac_coords": [[0.000, 0.000, 0.000], [0.500, 0.500, 0.500], [0.890, 0.890, 0.890], [0.110, 0.110, 0.110]],
  "m_tot_mub_per_atom": 0.00,
  "raw_formation_energy_ev_per_fu": 0.489
}

Record 9
{
  "formula": "SiTeI2",
  "functional": "PBE",
  "state": "relaxed",
  "lattice": [[-0.488, -5.461, 0.075], [-3.493, -2.487, -3.418], [1.914, -2.981, -4.185]],
  "species": ["Si", "I", "I", "Te"],
  "frac_coords": [[0.000, 0.000, 0.000], [0.750, 0.750, 0.750], [0.250, 0.250, 0.250], [0.500, 0.500, 0.500]],
  "m_tot_mub_per_atom": 0.00,
  "raw_formation_energy_ev_per_fu": 2.804
}

Record 10
{
  "formula": "SiTe4I",
  "functional": "PBE",
  "state": "relaxed",
  "lattice": [[7.943, 0.000, 0.285], [0.000, 8.821, 0.000], [-2.380, -4.411, 5.794]],
  "species": ["Te", "Te", "Te", "Te", "Te", "Te", "Te", "Te", "Si", "Si", "I", "I"],
  "frac_coords": [[0.750, 0.182, 0.364], [0.559, 0.440, 0.242], [0.250, 0.818, 0.636], [0.441, 0.560, 0.758], [0.441, 0.198, 0.758], [0.000, 0.696, 0.000], [0.559, 0.802, 0.242], [0.000, 0.304, 0.000], [0.254, 0.615, 0.231], [0.746, 0.385, 0.769], [0.228, 0.121, 0.242], [0.772, 0.879, 0.758]],
  "m_tot_mub_per_atom": 0.00,
  "raw_formation_energy_ev_per_fu": 0.861
}

Record 11
{
  "formula": "Ti2SiTeI",
  "functional": "PBE",
  "state": "relaxed",
  "lattice": [[5.074, 0.000, 0.000], [0.000, 5.210, 0.000], [0.000, 0.000, 5.074]],
  "species": ["Ti", "Ti", "Si", "I", "Te"],
  "frac_coords": [[0.000, 0.000, 0.500], [0.500, 0.000, 0.000], [0.000, 0.500, 0.000], [0.000, 0.000, 0.000], [0.500, 0.500, 0.500]],
  "m_tot_mub_per_atom": 0.00,
  "raw_formation_energy_ev_per_fu": 5.601
}

Record 12
{
  "formula": "TiSiTeI2",
  "functional": "PBE",
  "state": "relaxed",
  "lattice": [[-0.233, 0.004, 5.380], [-4.050, -3.544, -0.173], [3.623, -4.148, 0.159]],
  "species": ["I", "I", "Ti", "Si", "Te"],
  "frac_coords": [[0.500, 0.000, 0.000], [0.000, 0.500, 0.000], [0.500, 0.500, 0.500], [0.000, 0.000, 0.000], [0.000, 0.000, 0.500]],
  "m_tot_mub_per_atom": 0.00,
  "raw_formation_energy_ev_per_fu": 3.400
}